Record 1
## Lu5Mg24 (PBEsol)

Data for a relaxed Lu5Mg24 crystal.

It has space group I-43m (No. 217), with a = 11.079 Å, b = 11.079 Å, c = 11.079 Å, α = 90.00°, β = 90.00° and γ = 90.00°. The distinct sites, in fractional coordinates, are Lu at (0.000, 0.000, 0.000), Lu at (0.185, 0.185, 0.185), Mg at (0.035, 0.356, 0.644) and Mg at (0.090, 0.090, 0.719).

The total magnetization comes out at 0.00 μB/f.u. Its formation energy is -0.023 eV per atom.

---

Record 2
## LuMg2Mn3S8 (PBEsol)

Data for a relaxed LuMg2Mn3S8 crystal.

It has space group R-3m (No. 166, hexagonal axes), with a = 7.2564 Å, b = 7.2564 Å, c = 18.1072 Å, α = 90.00°, β = 90.00° and γ = 120.00°. The distinct sites, in fractional coordinates, are Lu at (0.0000, 0.0000, 0.0000), Mg at (0.0000, 0.0000, 0.3747), Mn at (0.0000, 0.5000, 0.5000), S at (0.0000, 0.0000, 0.2396) and S at (0.0200, 0.5100, 0.7621).

The value obtained for the raw formation energy is -0.983 eV per atom. The total magnetization comes out at 11.97 μB/f.u.

---

Record 3
## LuMgMnS4 (PBEsol)

Data for a relaxed LuMgMnS4 crystal.

It has space group Imma (No. 74), with a = 7.458 Å, b = 7.609 Å, c = 10.220 Å, α = 90.00°, β = 90.00° and γ = 90.00°. The distinct sites, in fractional coordinates, are Lu at (0.000, 0.000, 0.000), Mg at (0.000, 0.250, 0.373), Mn at (0.250, 0.250, 0.750), S at (0.000, 0.033, 0.744) and S at (0.241, 0.250, 0.983).

The value obtained for the raw formation energy is -1.275 eV per atom. The total magnetization comes out at 4.01 μB/f.u.

---

Record 4
## Lu2MgOs (PBEsol)

Data for a relaxed Lu2MgOs crystal.

It has space group Fm-3m (No. 225), with a = 6.828 Å, b = 6.828 Å, c = 6.828 Å, α = 90.00°, β = 90.00° and γ = 90.00°. The distinct sites, in fractional coordinates, are Lu at (0.250, 0.250, 0.250), Mg at (0.000, 0.000, 0.000) and Os at (0.000, 0.000, 0.500).

The total magnetization comes out at 0.00 μB/f.u. Its formation energy is -0.213 eV per atom.

---

Number 1: volume 23.45 Å³ per atom, E_tot -0.0839 Ha/atom. Number 2: volume 19.66 Å³ per atom, E_tot -0.2269 Ha/atom. Number 3: volume 20.71 Å³ per atom, E_tot -0.2248 Ha/atom. Number 4: volume 19.90 Å³ per atom, E_tot -0.2254 Ha/atom.